[1]
Material: La6Tm3Sc
Method: DFT, PBE-GGA
State: relaxed

Unit cell a=9.9297 b=9.9297 c=12.1367 alpha=90.00 beta=90.00 gamma=120.00
Space group R-3 (No. 148, hexagonal axes)
One atom of each set of equivalent atoms:
La: 0.0013 0.3373 0.0836 [18 per cell]
Tm: 0.0000 0.0000 0.0000 [3 per cell]
Tm: 0.0000 0.0000 0.2543 [6 per cell]
Sc: 0.0000 0.0000 0.5000 [3 per cell]

N(E_F) (states/eV/cell): 56.276
DFT formation energy (eV/atom): 0.176

***

[2]
Material: LiZnCl2
Method: DFT, PBE-GGA
State: relaxed

Unit cell a=3.635 b=7.294 c=7.310 alpha=90.00 beta=90.00 gamma=90.00
Space group Immm (No. 71)
One atom of each set of equivalent atoms:
Li: 0.000 0.000 0.000 [2 per cell]
Zn: 0.000 0.500 0.000 [2 per cell]
Cl: 0.000 0.270 0.500 [4 per cell]

N(E_F) (states/eV/cell): 6.049
ΔE to the lowest computed polymorph (meV/atom): 154.0
Energy relative to the elements, uncorrected (meV per atom): -848

***

[3]
Material: Pr4HRuCl2
Method: DFT, PBE-GGA
State: relaxed

Unit cell a=6.715 b=3.960 c=7.953 alpha=90.00 beta=106.77 gamma=90.00
Space group P2/m (No. 10)
One atom of each set of equivalent atoms:
Pr: 0.230 0.000 0.206 [2 per cell]
Pr: 0.251 0.500 0.794 [2 per cell]
H: 0.000 0.500 0.000 [1 per cell]
Ru: 0.500 0.000 0.000 [1 per cell]
Cl: 0.000 0.000 0.500 [1 per cell]
Cl: 0.500 0.500 0.500 [1 per cell]

N(E_F) (states/eV/cell): 4.348
Total DFT energy (no corrections) (eV per atom): -5.31

***

Which formula does entry 1 have? La6Tm3Sc